Entry A
First-principles (PBE) data for a relaxed Li2InP crystal, as listed in Alexandria via LeMat-Bulk.

Lattice parameters (Å, degrees): 13.0611 2.9001 4.3043 90.00 109.13 90.00
Last column: nearest neighbours and their distance in Å.
Space group Cm (No. 8)
Unique sites:
Li 0.0000 0.0000 0.0000  4 P 2.60, 2 Li 2.90
Li 0.1857 0.0000 0.6884  2 P 2.56
In 0.3137 0.5000 0.3165  2 P 2.87, 2 In 2.90, 6 Li 3.04-3.15
P 0.0147 0.5000 0.5144  6 Li 2.56-2.60



Entry B
First-principles (PBE) data for a relaxed Li2InP crystal, as listed in Alexandria via LeMat-Bulk.

Lattice parameters (Å, degrees): 3.5531 3.6136 5.4828 90.00 90.00 90.00
Last column: nearest neighbours and their distance in Å.
Space group Pmm2 (No. 25)
Unique sites:
Li 0.0000 0.0000 0.0000  2 In 2.61-2.88, 4 P 2.82, 4 Li 2.90
Li 0.5000 0.5000 0.2555  2 P 2.63-2.85, 4 Li 2.90, 4 In 2.93
In 0.0000 0.0000 0.5244  2 Li 2.61-2.88, 4 P 2.88
P 0.5000 0.5000 0.7758  6 Li 2.63-2.85, 4 In 2.88



Entry C
First-principles (PBE) data for a relaxed Li2InP crystal, as listed in Alexandria via LeMat-Bulk.

Lattice parameters (Å, degrees): 5.7295 8.0727 2.9375 90.00 90.00 90.00
Last column: nearest neighbours and their distance in Å.
Space group Cmmm (No. 65)
Unique sites:
Li 0.2500 0.2500 0.0000  4 Li 2.86-2.94, 4 In 2.88, 4 P 2.88
In 0.0000 0.0000 0.5000  2 P 2.86, 8 Li 2.88, 2 In 2.94
P 0.0000 0.5000 0.5000  2 In 2.86, 8 Li 2.88, 2 P 2.94



Q: Which of them is the least stable? A: entry C.



Entry A
First-principles (PBE) data for a relaxed Li2InP2 crystal, as listed in Alexandria via LeMat-Bulk.

Lattice parameters (Å, degrees): 7.8340 7.8340 2.7250 90.00 90.00 90.00
Last column: nearest neighbours and their distance in Å.
Space group P4/mbm (No. 127)
Unique sites:
Li 0.1240 0.3760 0.0000  6 P 2.65-2.71, 3 Li 2.73-2.75
In 0.0000 0.0000 0.5000  2 In 2.73, 4 P 2.90
P 0.1713 0.6713 0.5000  6 Li 2.65-2.71, 2 P 2.73, 2 In 2.90



Entry B
First-principles (PBE) data for a relaxed Li2InP2 crystal, as listed in Alexandria via LeMat-Bulk.

Lattice parameters (Å, degrees): 4.2939 4.2939 9.9780 90.00 90.00 90.00
Last column: nearest neighbours and their distance in Å.
Space group I4/mmm (No. 139)
Unique sites:
Li 0.0000 0.5000 0.2500  4 P 2.58
In 0.0000 0.0000 0.0000  8 P 3.22, 8 Li 3.29
P 0.0000 0.0000 0.3930  1 P 2.14



Q: Which of them is the least stable? A: entry A.



Entry A
First-principles (PBE) data for a relaxed LiIn3P crystal, as listed in Alexandria via LeMat-Bulk.

Lattice parameters (Å, degrees): 4.9621 4.9621 4.9621 90.00 90.00 90.00
Last column: nearest neighbours and their distance in Å.
Space group Pm-3m (No. 221)
Unique sites:
Li 0.0000 0.0000 0.0000  6 In 2.48
In 0.0000 0.0000 0.5000  2 Li 2.48
P 0.5000 0.5000 0.5000  12 In 3.51



Entry B
First-principles (PBE) data for a relaxed LiIn3P crystal, as listed in Alexandria via LeMat-Bulk.

Lattice parameters (Å, degrees): 5.2804 5.2804 5.2804 90.00 90.00 90.00
Last column: nearest neighbours and their distance in Å.
Space group Pm-3m (No. 221)
Unique sites:
Li 0.0000 0.0000 0.0000  12 In 3.73
In 0.0000 0.5000 0.5000  2 P 2.64
P 0.5000 0.5000 0.5000  6 In 2.64



Q: Which of them is the least stable? A: entry A.



Entry A
First-principles (PBE) data for a relaxed Li3InP crystal, as listed in Alexandria via LeMat-Bulk.

Lattice parameters (Å, degrees): 4.9095 4.9095 4.9095 90.00 90.00 90.00
Last column: nearest neighbours and their distance in Å.
Space group Pm-3m (No. 221)
Unique sites:
Li 0.0000 0.0000 0.5000  2 In 2.45
In 0.0000 0.0000 0.0000  6 Li 2.45
P 0.5000 0.5000 0.5000  12 Li 3.47



Entry B
First-principles (PBE) data for a relaxed Li3InP crystal, as listed in Alexandria via LeMat-Bulk.

Lattice parameters (Å, degrees): 4.7016 4.7016 4.7016 90.00 90.00 90.00
Last column: nearest neighbours and their distance in Å.
Space group Pm-3m (No. 221)
Unique sites:
Li 0.0000 0.0000 0.5000  2 P 2.35
In 0.5000 0.5000 0.5000  12 Li 3.32
P 0.0000 0.0000 0.0000  6 Li 2.35



Q: Which of them is the least stable? A: entry A.



Entry A
First-principles (PBE) data for a relaxed LiPaIn2 crystal, as listed in Alexandria via LeMat-Bulk.

Lattice parameters (Å, degrees): 3.2527 3.2527 8.2760 90.00 90.00 90.00
Last column: nearest neighbours and their distance in Å.
Space group P4/mmm (No. 123)
Unique sites:
Li 0.0000 0.0000 0.0000  8 In 2.89
Pa 0.0000 0.0000 0.5000  4 Pa 3.25, 8 In 3.32
In 0.5000 0.5000 0.2115  4 Li 2.89



Entry B
First-principles (PBE) data for a relaxed LiPaIn2 crystal, as listed in Alexandria via LeMat-Bulk.

Lattice parameters (Å, degrees): 7.2913 7.2913 7.2913 90.00 90.00 90.00
Last column: nearest neighbours and their distance in Å.
Space group Fm-3m (No. 225)
Unique sites:
Li 0.0000 0.0000 0.0000  8 In 3.16
Pa 0.0000 0.0000 0.5000  8 In 3.16
In 0.2500 0.2500 0.2500  4 Li 3.16, 4 Pa 3.16



Q: Which of them is the least stable? A: entry B.



Entry A
First-principles (PBE) data for a relaxed LiPaIn crystal, as listed in Alexandria via LeMat-Bulk.

Lattice parameters (Å, degrees): 3.1102 18.5057 4.5580 90.00 90.00 90.00
Last column: nearest neighbours and their distance in Å.
Space group Cmcm (No. 63)
Unique sites:
Li 0.0000 0.0386 0.2500  2 Li 2.69
Pa 0.0000 0.2163 0.2500  6 Pa 3.03-3.11, 1 Li 3.29, 1 In 3.31
In 0.0000 0.3952 0.2500  6 Li 3.02-3.08, 2 In 3.11, 1 Pa 3.31



Entry B
First-principles (PBE) data for a relaxed LiPaIn crystal, as listed in Alexandria via LeMat-Bulk.

Lattice parameters (Å, degrees): 3.1196 3.1196 13.3800 90.00 90.00 90.00
Last column: nearest neighbours and their distance in Å.
Space group I4mm (No. 107)
Unique sites:
Li 0.0000 0.0000 0.0000  4 In 2.83, 4 Li 3.12
Pa 0.0000 0.0000 0.3188  4 Pa 3.12, 4 Li 3.28, 4 In 3.33
In 0.0000 0.0000 0.6326  4 Li 2.83, 4 In 3.12



Q: Which of them is the least stable? A: entry B.



Entry A
First-principles (PBE) data for a relaxed LiIn2Pb4 crystal, as listed in Alexandria via LeMat-Bulk.

Lattice parameters (Å, degrees): 15.6590 3.4850 8.1424 90.00 114.91 90.00
Last column: nearest neighbours and their distance in Å.
Space group C2/m (No. 12)
Unique sites:
Li 0.0000 0.0000 0.0000  2 Pb 3.05, 2 In 3.10
In 0.2175 0.0000 0.1450  1 Li 3.10, 6 Pb 3.22-3.46, 2 In 3.42
Pb 0.0806 0.0000 0.7181  1 Li 3.05, 3 In 3.22-3.36, 1 Pb 3.38
Pb 0.1347 0.5000 0.3973  3 In 3.34-3.46, 8 Pb 3.48-3.71, 2 Li 3.49



Entry B
First-principles (PBE) data for a relaxed LiIn2Pb4 crystal, as listed in Alexandria via LeMat-Bulk.

Lattice parameters (Å, degrees): 4.8931 18.7881 4.8040 90.00 90.00 90.00
Last column: nearest neighbours and their distance in Å.
Space group Cmmm (No. 65)
Unique sites:
Li 0.0000 0.0000 0.0000  8 Pb 2.96-3.03
In 0.0000 0.2937 0.5000  2 In 2.95, 4 Pb 3.18-3.25
Pb 0.0000 0.0921 0.5000  2 Li 2.96, 2 In 3.25
Pb 0.0000 0.4048 0.0000  2 Li 3.03, 2 In 3.18



Q: Which of them is the least stable? A: entry B.



Entry A
First-principles (PBE) data for a relaxed Li3In3Pb crystal, as listed in Alexandria via LeMat-Bulk.

Lattice parameters (Å, degrees): 7.7921 9.6126 8.9019 90.00 90.00 90.00
Last column: nearest neighbours and their distance in Å.
Space group Cmmm (No. 65)
Unique sites:
Li 0.0000 0.2134 0.0000  6 In 2.85-2.93, 4 Li 3.06-3.20
Li 0.0000 0.2226 0.5000  6 In 3.10-3.18, 4 Pb 3.12-3.13
Li 0.2081 0.5000 0.0000  5 Li 3.06-3.24, 6 In 3.09-3.18
In 0.0000 0.0000 0.2357  6 Li 2.93-3.18, 4 In 3.09, 2 Pb 3.27
In 0.2500 0.2500 0.2311  6 Li 2.85-3.18, 2 In 3.09
Pb 0.2093 0.5000 0.5000  4 Li 3.12-3.13, 1 Pb 3.26, 6 In 3.27-3.41



Entry B
First-principles (PBE) data for a relaxed Li3In3Pb crystal, as listed in Alexandria via LeMat-Bulk.

Lattice parameters (Å, degrees): 7.3666 7.3666 7.3666 90.00 90.00 90.00
Last column: nearest neighbours and their distance in Å.
Space group Pm-3n (No. 223)
Unique sites:
Li 0.0000 0.2500 0.5000  4 In 2.60
In 0.0000 0.5000 0.2500  4 Li 2.60
Pb 0.0000 0.0000 0.0000  12 In 4.12, 12 Li 4.12



Q: Which of them is the least stable? A: entry B.



Entry A
First-principles (PBE) data for a relaxed Li5In2Pb2 crystal, as listed in Alexandria via LeMat-Bulk.

Lattice parameters (Å, degrees): 14.1176 7.5271 7.3877 90.00 90.00 90.00
Last column: nearest neighbours and their distance in Å.
Space group Cmce (No. 64)
Unique sites:
Li 0.0000 0.0000 0.0000  4 In 2.86-2.90, 2 Pb 2.94
Li 0.1354 0.1672 0.3281  3 In 2.77-3.01, 3 Pb 2.84-2.99
In 0.0000 0.1398 0.6405  8 Li 2.77-3.01, 1 In 2.96
Pb 0.2086 0.0000 0.0000  7 Li 2.84-2.99



Entry B
First-principles (PBE) data for a relaxed Li5In2Pb2 crystal, as listed in Alexandria via LeMat-Bulk.

Lattice parameters (Å, degrees): 10.3527 4.8522 8.3076 90.00 105.02 90.00
Last column: nearest neighbours and their distance in Å.
Space group C2/m (No. 12)
Unique sites:
Li 0.0000 0.0000 0.0000  6 Li 3.01-3.02, 6 In 3.18-3.29, 2 Pb 3.28
Li 0.0997 0.5000 0.2120  2 In 2.82-2.88, 2 Pb 2.84, 3 Li 2.92-3.02
Li 0.1083 0.0000 0.6970  2 Pb 2.90-2.93, 2 Li 2.92-3.01, 2 In 2.96
In 0.1816 0.5000 0.9057  4 Li 2.82-2.96, 2 In 3.03, 1 Pb 3.08
Pb 0.1850 0.0000 0.3852  4 Li 2.84-2.93, 1 In 3.08, 2 Pb 3.16



Q: Which of them is the least stable? A: entry A.



Entry A
First-principles (PBE) data for a relaxed Li3In2Pb3 crystal, as listed in Alexandria via LeMat-Bulk.

Lattice parameters (Å, degrees): 15.4174 4.9108 5.6786 90.00 109.30 90.00
Last column: nearest neighbours and their distance in Å.
Space group C2/m (No. 12)
Unique sites:
Li 0.0000 0.0000 0.0000  4 Pb 3.07, 2 Li 3.19
Li 0.1253 0.0000 0.6523  3 In 3.01-3.33, 2 Pb 3.07, 1 Li 3.19
In 0.2438 0.5000 0.7105  3 Li 3.01-3.33, 4 Pb 3.12-3.32
Pb 0.0000 0.5000 0.5000  4 Li 3.07, 4 Pb 3.34-3.42
Pb 0.1262 0.5000 0.1043  2 Li 3.07, 4 In 3.12-3.32, 2 Pb 3.34-3.42



Entry B
First-principles (PBE) data for a relaxed Li3In2Pb3 crystal, as listed in Alexandria via LeMat-Bulk.

Lattice parameters (Å, degrees): 4.2687 4.6676 19.5337 90.00 90.00 90.00
Last column: nearest neighbours and their distance in Å.
Space group Immm (No. 71)
Unique sites:
Li 0.0000 0.0000 0.0000  8 Pb 3.16-3.17, 4 Li 3.40
Li 0.0000 0.5000 0.1266  6 Pb 3.17-3.27, 4 In 3.21-3.36, 2 Li 3.40
In 0.0000 0.0000 0.2504  4 In 3.16, 4 Li 3.21-3.36, 4 Pb 3.32-3.44
Pb 0.0000 0.0000 0.5000  8 Li 3.16-3.27, 4 Pb 3.31
Pb 0.0000 0.5000 0.3798  6 Li 3.17, 2 Pb 3.31, 4 In 3.32-3.44



Q: Which of them is the least stable? A: entry A.



Entry A
First-principles (PBE) data for a relaxed LiIn2Pb2 crystal, as listed in Alexandria via LeMat-Bulk.

Lattice parameters (Å, degrees): 7.2803 5.0262 7.3450 90.00 90.02 90.00
Last column: nearest neighbours and their distance in Å.
Space group P2_1/m (No. 11)
Unique sites:
Li 0.0492 0.2500 0.1565  4 Pb 3.07-3.35, 4 In 3.09-3.29
In 0.2349 0.2500 0.7779  3 Li 3.09-3.29, 6 Pb 3.33-3.40, 1 In 3.39
In 0.4311 0.2500 0.3594  1 Li 3.15, 6 Pb 3.26-3.50, 3 In 3.39-3.40
Pb 0.1530 0.7500 0.4760  1 Li 3.07, 6 In 3.26-3.40, 3 Pb 3.35-3.38
Pb 0.3367 0.7500 0.0581  3 Li 3.22-3.35, 6 In 3.33-3.50, 3 Pb 3.35-3.56



Entry B
First-principles (PBE) data for a relaxed LiIn2Pb2 crystal, as listed in Alexandria via LeMat-Bulk.

Lattice parameters (Å, degrees): 4.2993 4.2993 16.2165 90.00 90.00 90.00
Last column: nearest neighbours and their distance in Å.
Space group I4/mmm (No. 139)
Unique sites:
Li 0.0000 0.0000 0.0000  8 Pb 3.45
In 0.0000 0.5000 0.2500  4 In 3.04, 4 Pb 3.24
Pb 0.0000 0.0000 0.3996  4 In 3.24, 1 Pb 3.26, 4 Li 3.45



Q: Which of them is the least stable? A: entry B.



Entry A
First-principles (PBE) data for a relaxed LiIn4Pb5 crystal, as listed in Alexandria via LeMat-Bulk.

Lattice parameters (Å, degrees): 3.8010 3.8010 19.5747 90.00 90.00 90.00
Last column: nearest neighbours and their distance in Å.
Space group P4/mmm (No. 123)
Unique sites:
Li 0.0000 0.0000 0.0000  8 Pb 3.17
In 0.0000 0.0000 0.1854  8 Pb 3.32-3.41, 1 Li 3.63
In 0.0000 0.0000 0.3967  8 Pb 3.36-3.37
Pb 0.5000 0.5000 0.0859  4 Li 3.17, 4 In 3.32, 1 Pb 3.36
Pb 0.5000 0.5000 0.2925  8 In 3.37-3.41
Pb 0.5000 0.5000 0.5000  8 In 3.36



Entry B
First-principles (PBE) data for a relaxed LiIn4Pb5 crystal, as listed in Alexandria via LeMat-Bulk.

Lattice parameters (Å, degrees): 10.1207 10.1207 5.6957 90.00 90.00 90.00
Last column: nearest neighbours and their distance in Å.
Space group I4 (No. 79)
Unique sites:
Li 0.0000 0.0000 0.0000  6 Pb 2.69-3.01
In 0.0004 0.3370 0.2817  4 Pb 3.19-3.55, 1 In 3.30
Pb 0.0000 0.0000 0.4717  2 Li 2.69-3.01
Pb 0.1861 0.1869 0.8268  1 Li 2.85



Q: Which of them is the least stable? A: entry B.